[1]
Density functional theory data (PBE) for a geometry-optimized Al2Ir2Br structure.

Lattice parameters (Å, degrees): 7.385 7.385 2.954 90.00 90.00 90.00
Space group P4/mbm (No. 127)
One atom of each set of equivalent atoms:
Al  0.144  0.356  0.000 x4
Ir  0.148  0.648  0.500 x4
Br  0.000  0.000  0.500 x2

* formation energy without anion corrections: -275 meV/atom
* total magnetic moment: 0.0 Bohr magnetons per cell
* ΔE to the lowest computed polymorph: 0 meV/atom


[2]
Density functional theory data (PBE) for a geometry-optimized AlIrBr2 structure.

Lattice parameters (Å, degrees): 3.504 3.499 7.920 90.00 100.09 90.00
Space group Pm (No. 6)
One atom of each set of equivalent atoms:
Al  0.000  0.000  0.000 x1
Ir  0.530  0.500  0.076 x1
Br  0.236  0.500  0.760 x1
Br  0.646  0.000  0.335 x1

* formation energy without anion corrections: -176 meV/atom
* total magnetic moment: 0.0 Bohr magnetons per cell
* ΔE to the lowest computed polymorph: 117 meV/atom


[3]
Density functional theory data (PBE) for a geometry-optimized AlIr2Br structure.

Lattice parameters (Å, degrees): 3.792 3.792 8.887 90.00 90.00 90.00
Space group I-4m2 (No. 119)
One atom of each set of equivalent atoms:
Al  0.000  0.000  0.000 x2
Ir  0.000  0.000  0.500 x2
Ir  0.000  0.500  0.250 x2
Br  0.000  0.500  0.750 x2

* formation energy without anion corrections: 590 meV/atom
* total magnetic moment: 0.0 Bohr magnetons per cell
* ΔE to the lowest computed polymorph: 541 meV/atom


[4]
Density functional theory data (PBE) for a geometry-optimized AlIr2Br structure.

Lattice parameters (Å, degrees): 2.976 5.257 8.568 90.00 90.00 90.00
Space group Cmm2 (No. 35)
One atom of each set of equivalent atoms:
Al  0.000  0.000  0.000 x2
Ir  0.000  0.000  0.517 x2
Ir  0.000  0.500  0.773 x2
Br  0.000  0.500  0.247 x2

* formation energy without anion corrections: 502 meV/atom
* total magnetic moment: 0.0 Bohr magnetons per cell
* ΔE to the lowest computed polymorph: 453 meV/atom


[5]
Density functional theory data (PBE) for a geometry-optimized AlIr2Br structure.

Lattice parameters (Å, degrees): 8.105 2.954 7.511 90.00 110.81 90.00
Space group C2/m (No. 12)
One atom of each set of equivalent atoms:
Al  0.000  0.000  0.000 x2
Ir  0.161  0.500  0.849 x4
Br  0.000  0.500  0.500 x2

* formation energy without anion corrections: 48 meV/atom
* total magnetic moment: 0.0 Bohr magnetons per cell
* ΔE to the lowest computed polymorph: 0 meV/atom


[6]
Density functional theory data (PBE) for a geometry-optimized AlIr2Br structure.

Lattice parameters (Å, degrees): 2.8261 2.8261 31.0339 90.00 90.00 120.00
Space group R-3m (No. 166, hexagonal axes)
One atom of each set of equivalent atoms:
Al  0.0000  0.0000  0.0000 x3
Ir  0.0000  0.0000  0.2713 x6
Br  0.0000  0.0000  0.5000 x3

* formation energy without anion corrections: 85 meV/atom
* total magnetic moment: 0.1 Bohr magnetons per cell
* ΔE to the lowest computed polymorph: 37 meV/atom


[7]
Density functional theory data (PBE) for a geometry-optimized AlIr2Br structure.

Lattice parameters (Å, degrees): 3.015 3.015 7.119 90.00 90.00 90.00
Space group P4/mmm (No. 123)
One atom of each set of equivalent atoms:
Al  0.000  0.000  0.000 x1
Ir  0.500  0.500  0.203 x2
Br  0.000  0.000  0.500 x1

* formation energy without anion corrections: 171 meV/atom
* total magnetic moment: 0.0 Bohr magnetons per cell
* ΔE to the lowest computed polymorph: 122 meV/atom


[8]
Density functional theory data (PBE) for a geometry-optimized AlIr2Br structure.

Lattice parameters (Å, degrees): 6.322 6.322 6.322 90.00 90.00 90.00
Space group Fm-3m (No. 225)
One atom of each set of equivalent atoms:
Al  0.000  0.000  0.000 x4
Ir  0.250  0.250  0.250 x8
Br  0.000  0.000  0.500 x4

* formation energy without anion corrections: 570 meV/atom
* total magnetic moment: 0.0 Bohr magnetons per cell
* ΔE to the lowest computed polymorph: 521 meV/atom